Entry 1:
Here is Tm8InAg2 after structural relaxation from Alexandria. Energies are from PBE.

Cell: 5.3402 8.2677 8.2677 Å, 116.79 99.92 99.92°
Positions (direct):
Tm (0.1025, 0.3271, 0.0919)
Tm (0.1025, 0.0919, 0.3271)
Tm (0.5000, 0.2285, 0.7715)
Tm (0.6959, 0.3950, 0.3950)
Ag (0.0000, 0.6953, 0.3047)
Tm (0.8975, 0.6729, 0.9081)
In (0.5000, 0.0000, 0.0000)
Tm (0.5000, 0.7715, 0.2285)
Ag (0.0000, 0.3047, 0.6953)
Tm (0.8975, 0.9081, 0.6729)
Tm (0.3041, 0.6050, 0.6050)

Output
ΔE to the lowest computed polymorph	103	meV/atom
calculated total energy	-45.01	eV/cell
energy relative to the elements	-73	meV per atom
magnetization	0.000	μB per atom

***

Entry 2:
Here is Er4AlTc after structural relaxation from Alexandria. Energies are from PBE.

Cell: 6.1218 8.8458 7.6191 Å, 114.64 99.52 114.02°
Positions (direct):
Er (0.7581, 0.3648, 0.1562)
Er (0.8981, 0.7914, 0.1562)
Er (0.2320, 0.2787, 0.3425)
Al (0.6250, 0.3750, 0.7499)
Er (0.3896, 0.9362, 0.6575)
Tc (0.7509, 0.0009, 0.0018)
Er (0.2419, 0.6352, 0.8438)
Er (0.1019, 0.2086, 0.8438)
Er (0.6104, 0.0638, 0.3425)
Er (0.7680, 0.7213, 0.6575)
Tc (0.2491, 0.9991, 0.9982)
Al (0.3750, 0.6250, 0.2501)

Output
calculated total energy	-67.11	eV/cell
energy relative to the elements	-199	meV per atom
magnetization	0.000	μB per atom

***

Entry 3:
Here is SrEuCuPb after structural relaxation from Alexandria. Energies are from PBE.

Cell: 5.5393 5.5393 5.5393 Å, 60.00 60.00 60.00°
Site moments in Bohr magnetons follow the coordinates.
Positions (direct):
Sr (0.5000, 0.5000, 0.5000)  -0.01
Pb (0.7500, 0.7500, 0.7500)  -0.03
Eu (0.0000, 0.0000, 0.0000)  6.81
Cu (0.2500, 0.2500, 0.2500)  -0.01

Output
calculated total energy	-20.81	eV/cell
energy relative to the elements	-262	meV per atom
magnetization	1.731	μB per atom

***

Entry 4:
Here is LiCa2RhN after structural relaxation from Alexandria. Energies are from PBE.

Cell: 5.0347 5.0347 3.8888 Å, 90.00 90.00 90.00°
Positions (direct):
Ca (0.5000, 0.0000, 0.0000)
Ca (0.0000, 0.5000, 0.0000)
N (0.0000, 0.0000, 0.0000)
Li (0.5000, 0.5000, 0.5000)
Rh (0.0000, 0.0000, 0.5000)

Output
formation energy without anion corrections	-0.438	eV per atom
calculated total energy	-23.78	eV/cell
magnetization	0.000	μB per atom

***

Entry 5:
Here is Ti5OsPt2Rh2 after structural relaxation from Alexandria. Energies are from PBE.

Cell: 2.9343 10.6348 10.6348 Å, 90.00 90.00 90.00°
Positions (direct):
Ti (0.5000, 0.0000, 0.5000)
Ti (0.5000, 0.3468, 0.6358)
Os (0.0000, 0.5000, 0.5000)
Ti (0.5000, 0.8642, 0.1532)
Rh (0.0000, 0.8550, 0.3550)
Ti (0.5000, 0.8468, 0.8642)
Pt (0.0000, 0.8477, 0.6523)
Rh (0.0000, 0.1450, 0.6450)
Pt (0.0000, 0.6523, 0.1523)
Rh (0.0000, 0.6450, 0.8550)
Ti (0.5000, 0.3642, 0.3468)
Os (0.0000, 0.0000, 0.0000)
Ti (0.5000, 0.5000, 0.0000)
Ti (0.5000, 0.1532, 0.1358)
Ti (0.5000, 0.6358, 0.6532)
Ti (0.5000, 0.1358, 0.8468)
Ti (0.5000, 0.6532, 0.3642)
Rh (0.0000, 0.3550, 0.1450)
Pt (0.0000, 0.3477, 0.8477)
Pt (0.0000, 0.1523, 0.3477)

Output
calculated total energy	-166.02	eV/cell
energy relative to the elements	-552	meV per atom
magnetization	0.000	μB per atom

***

Entry 6:
Here is YCr2Cd2 after structural relaxation from Alexandria. Energies are from PBE.

Cell: 3.2448 3.2448 9.7270 Å, 80.40 80.40 90.00°
Site moments in Bohr magnetons follow the coordinates.
Positions (direct):
Cr (0.2500, 0.7500, 0.5000)  0.00
Y (0.0000, 0.0000, 0.0000)  0.25
Cd (0.3765, 0.3765, 0.2470)  0.00
Cd (0.6235, 0.6235, 0.7530)  0.00
Cr (0.7500, 0.2500, 0.5000)  0.00

Output
ΔE to the lowest computed polymorph	3	meV/atom
calculated total energy	-25.72	eV/cell
energy relative to the elements	365	meV per atom
magnetization	0.079	μB per atom

***

Entry 7:
Here is LiSc2CrAg after structural relaxation from Alexandria. Energies are from PBE.

Cell: 4.9142 4.3132 4.9142 Å, 90.00 90.00 90.00°
Site moments in Bohr magnetons follow the coordinates.
Positions (direct):
Li (0.0000, 0.0000, 0.0000)  -0.05
Ag (0.0000, 0.5000, 0.0000)  -0.01
Sc (0.5000, 0.0000, 0.0000)  -0.19
Sc (0.0000, 0.0000, 0.5000)  -0.10
Cr (0.5000, 0.5000, 0.5000)  3.74

Output
calculated total energy	-23.58	eV/cell
energy relative to the elements	695	meV per atom
magnetization	0.717	μB per atom

***

Entry 8:
Here is Y6Tm8Pu after structural relaxation from Alexandria. Energies are from PBE.

Cell: 8.4910 8.4909 8.4910 Å, 63.63 63.63 63.63°
Site moments in Bohr magnetons follow the coordinates.
Positions (direct):
Y (0.2204, 0.1129, 0.5455)  0.05
Tm (0.8898, 0.2825, 0.2498)  0.08
Y (0.5455, 0.2204, 0.1129)  0.05
Tm (0.1102, 0.7175, 0.7502)  0.08
Pu (0.0000, 0.0000, 0.0000)  5.62
Tm (0.2498, 0.8898, 0.2825)  0.08
Tm (0.7175, 0.7502, 0.1102)  0.08
Y (0.4545, 0.7796, 0.8871)  0.05
Tm (0.2825, 0.2498, 0.8898)  0.08
Y (0.1129, 0.5455, 0.2204)  0.05
Y (0.7796, 0.8871, 0.4545)  0.05
Tm (0.4241, 0.4241, 0.4241)  -0.12
Tm (0.5759, 0.5759, 0.5759)  -0.12
Tm (0.7502, 0.1102, 0.7175)  0.08
Y (0.8871, 0.4545, 0.7796)  0.05

Output
calculated total energy	-87.20	eV/cell
energy relative to the elements	113	meV per atom
magnetization	0.456	μB per atom

***

Entry 9:
Here is RbAlO2 after structural relaxation from Alexandria. Energies are from PBE.

Cell: 3.0453 3.0453 6.6069 Å, 90.00 90.00 120.00°
Positions (direct):
Al (0.0000, 0.0000, 0.9911)
O (0.6667, 0.3333, 0.1510)
O (0.3333, 0.6667, 0.8564)
Rb (0.3333, 0.6667, 0.4565)

Output
formation energy without anion corrections	-2.071	eV per atom
calculated total energy	-22.91	eV/cell
magnetization	0.000	μB per atom

***

Entry 10:
Here is Ca2PdAu2 after structural relaxation from Alexandria. Energies are from PBE.

Cell: 7.9744 7.9744 3.7684 Å, 90.00 90.00 90.00°
Positions (direct):
Ca (0.1692, 0.3308, 0.0000)
Au (0.6285, 0.8715, 0.5000)
Ca (0.8308, 0.6692, 0.0000)
Ca (0.3308, 0.8308, 0.0000)
Au (0.8715, 0.3715, 0.5000)
Pd (0.5000, 0.5000, 0.0000)
Pd (0.0000, 0.0000, 0.0000)
Au (0.3715, 0.1285, 0.5000)
Au (0.1285, 0.6285, 0.5000)
Ca (0.6692, 0.1692, 0.0000)

Output
ΔE to the lowest computed polymorph	227	meV/atom
calculated total energy	-36.42	eV/cell
energy relative to the elements	-492	meV per atom
magnetization	0.000	μB per atom

***

Entry 11:
Here is LiTe2NF after structural relaxation from Alexandria. Energies are from PBE.

Cell: 4.7843 4.7843 5.0708 Å, 90.00 90.00 90.00°
Site moments in Bohr magnetons follow the coordinates.
Positions (direct):
Te (0.5000, 0.0000, 0.0000)  0.10
Li (0.5000, 0.5000, 0.5000)  0.00
F (0.0000, 0.0000, 0.0000)  0.04
Te (0.0000, 0.5000, 0.0000)  0.10
N (0.0000, 0.0000, 0.5000)  1.76

Output
formation energy without anion corrections	0.584	eV per atom
ΔE to the lowest computed polymorph	61	meV/atom
calculated total energy	-15.47	eV/cell
magnetization	0.599	μB per atom

***

Entry 12:
Here is CsNaTeI2 after structural relaxation from Alexandria. Energies are from PBE.

Cell: 7.2396 7.2396 6.9519 Å, 90.00 90.00 90.00°
Site moments in Bohr magnetons follow the coordinates.
Positions (direct):
Cs (0.0000, 0.0000, 0.0000)  0.04
Na (0.5000, 0.5000, 0.5000)  0.00
I (0.0000, 0.5000, 0.0000)  0.14
I (0.5000, 0.0000, 0.0000)  0.14
Te (0.0000, 0.0000, 0.5000)  0.79

Output
formation energy without anion corrections	-0.229	eV per atom
ΔE to the lowest computed polymorph	434	meV/atom
calculated total energy	-9.56	eV/cell
magnetization	0.416	μB per atom